Record 1
# Ho3SeS3

A relaxed Ho3SeS3 crystal (PBE-GGA, Alexandria via LeMat-Bulk).

a b c (Å): 8.2786 8.2786 7.2892
angles (deg): 55.40 55.40 60.00
Last column: nearest neighbours and their distance in Å.
Fractional coordinates of all 14 atoms:
Se (0.6689, 0.6689, 0.9932)  6 Ho 2.91-2.99
S (0.8018, 0.0967, 0.7296)  5 Ho 2.71-2.90
S (0.0967, 0.3719, 0.7296)  5 Ho 2.71-2.90
Ho (0.9235, 0.2829, 0.2406)  5 S 2.71-2.90, 2 Se 2.91-2.99
S (0.9033, 0.6281, 0.2704)  5 Ho 2.71-2.90
S (0.6281, 0.1982, 0.2704)  5 Ho 2.71-2.90
Se (0.3311, 0.3311, 0.0068)  6 Ho 2.91-2.99
S (0.1982, 0.9033, 0.2704)  5 Ho 2.71-2.90
Ho (0.5530, 0.9235, 0.2406)  5 S 2.71-2.90, 2 Se 2.91-2.99
Ho (0.2829, 0.5530, 0.2406)  5 S 2.71-2.90, 2 Se 2.91-2.99
Ho (0.7171, 0.4470, 0.7594)  5 S 2.71-2.90, 2 Se 2.91-2.99
S (0.3719, 0.8018, 0.7296)  5 Ho 2.71-2.90
Ho (0.0765, 0.7171, 0.7594)  5 S 2.71-2.90, 2 Se 2.91-2.99
Ho (0.4470, 0.0765, 0.7594)  5 S 2.71-2.90, 2 Se 2.91-2.99

Properties
- formation energy from raw total energies (eV per formula unit) = -13.54
- size of the total moment (Bohr magnetons per cell) = 0.0
- space-group type = R-3
- calculated density (g/cm³) = 6.81
- total energy (eV/atom) = -6.164
- polymorph energy (0 for the lowest one) (eV/f.u.) = 0.37

=====

Record 2
# MgCu4Se2

A relaxed MgCu4Se2 crystal (PBE-GGA, Alexandria via LeMat-Bulk).

a b c (Å): 6.7411 6.7411 6.7411
angles (deg): 113.64 113.64 101.42
Last column: nearest neighbours and their distance in Å.
Fractional coordinates of all 14 atoms:
Cu (0.4741, 0.6889, 0.5000)  3 Se 2.47-2.69, 3 Cu 2.52-2.64
Cu (0.5259, 0.3111, 0.5000)  3 Se 2.47-2.69, 3 Cu 2.52-2.64
Mg (0.2500, 0.2500, 0.0000)  8 Cu 2.92
Cu (0.1889, 0.9741, 0.5000)  3 Se 2.47-2.69, 3 Cu 2.52-2.64
Se (0.1650, 0.3350, 0.5000)  6 Cu 2.47-2.69
Se (0.3350, 0.8350, 0.1700)  6 Cu 2.47-2.69
Se (0.6650, 0.1650, 0.8300)  6 Cu 2.47-2.69
Cu (0.6889, 0.1889, 0.2147)  3 Se 2.47-2.69, 3 Cu 2.52-2.64
Cu (0.3111, 0.8111, 0.7853)  3 Se 2.47-2.69, 3 Cu 2.52-2.64
Cu (0.9741, 0.4741, 0.7853)  3 Se 2.47-2.69, 3 Cu 2.52-2.64
Mg (0.7500, 0.7500, 0.0000)  8 Cu 2.92
Se (0.8350, 0.6650, 0.5000)  6 Cu 2.47-2.69
Cu (0.0259, 0.5259, 0.2147)  3 Se 2.47-2.69, 3 Cu 2.52-2.64
Cu (0.8111, 0.0259, 0.5000)  3 Se 2.47-2.69, 3 Cu 2.52-2.64

Properties
- formation energy from raw total energies (eV per formula unit) = 0.01
- size of the total moment (Bohr magnetons per cell) = 0.0
- space-group type = I4/mcm
- calculated density (g/cm³) = 6.24
- total energy (eV/atom) = -3.563
- polymorph energy (0 for the lowest one) (eV/f.u.) = 1.88

=====

Record 3
# RbIn2Pb

A relaxed RbIn2Pb crystal (PBE-GGA, Alexandria via LeMat-Bulk).

a b c (Å): 5.2612 6.9575 8.2184
angles (deg): 90.00 90.00 112.22
Last column: nearest neighbours and their distance in Å.
Fractional coordinates of all 8 atoms:
In (0.6258, 0.2515, 0.0569)  2 In 3.17-3.37, 3 Pb 3.25-3.28
Rb (0.0759, 0.1518, 0.7500)  8 In 3.70-4.02, 3 Pb 3.75-3.77
Pb (0.7851, 0.5702, 0.7500)  6 In 3.25-3.28
Rb (0.9241, 0.8482, 0.2500)  8 In 3.70-4.02, 3 Pb 3.75-3.77
In (0.6258, 0.2515, 0.4431)  2 In 3.17-3.37, 3 Pb 3.25-3.28
In (0.3742, 0.7485, 0.9431)  2 In 3.17-3.37, 3 Pb 3.25-3.28
In (0.3742, 0.7485, 0.5569)  2 In 3.17-3.37, 3 Pb 3.25-3.28
Pb (0.2149, 0.4298, 0.2500)  6 In 3.25-3.28

Properties
- size of the total moment (Bohr magnetons per cell) = 0.0
- space-group type = Cmcm
- calculated density (g/cm³) = 6.23
- total energy (eV/atom) = -2.623
- energy of formation from the pure elements (eV per atom) = -0.09

=====

Record 4
# BaZn2Ag2

A relaxed BaZn2Ag2 crystal (PBE-GGA, Alexandria via LeMat-Bulk).

a b c (Å): 4.8475 4.8475 6.1482
angles (deg): 66.78 66.78 90.00
Last column: nearest neighbours and their distance in Å.
Fractional coordinates of all 5 atoms:
Ag (0.2500, 0.7500, 0.5000)  4 Zn 2.72
Zn (0.6295, 0.6295, 0.7410)  1 Zn 2.64, 4 Ag 2.72
Ag (0.7500, 0.2500, 0.5000)  4 Zn 2.72
Ba (0.0000, 0.0000, 0.0000)  8 Ag 3.52, 10 Zn 3.67-3.78
Zn (0.3705, 0.3705, 0.2590)  1 Zn 2.64, 4 Ag 2.72

Properties
- size of the total moment (Bohr magnetons per cell) = 0.0
- space-group type = I4/mmm
- calculated density (g/cm³) = 6.70
- total energy (eV/atom) = -2.230
- polymorph energy (0 for the lowest one) (eV/f.u.) = 0.00
- energy of formation from the pure elements (eV per atom) = -0.19

=====

Record 5
# TcTe2W

A relaxed TcTe2W crystal (PBE-GGA, Alexandria via LeMat-Bulk).

a b c (Å): 3.2134 3.2134 8.7221
angles (deg): 90.00 90.00 118.02
Last column: nearest neighbours and their distance in Å.
Fractional coordinates of all 4 atoms:
Te (0.0000, 0.0000, 0.5050)  2 Tc 2.70, 2 W 2.77
Tc (0.5000, 0.5000, 0.7500)  4 Te 2.70
Te (0.0000, 0.0000, 0.9950)  2 Tc 2.70, 2 W 2.77
W (0.5000, 0.5000, 0.2500)  4 Te 2.77

Properties
- formation energy from raw total energies (eV per formula unit) = 4.25
- size of the total moment (Bohr magnetons per cell) = 0.0
- space-group type = Cmmm
- calculated density (g/cm³) = 11.22
- total energy (eV/atom) = -6.339
- polymorph energy (0 for the lowest one) (eV/f.u.) = 3.57

=====

Record 6
# MoP2RuCl

A relaxed MoP2RuCl crystal (PBE-GGA, Alexandria via LeMat-Bulk).

a b c (Å): 4.5153 4.5153 4.9703
angles (deg): 90.00 90.00 90.00
Last column: nearest neighbours and their distance in Å.
Fractional coordinates of all 5 atoms:
Mo (0.5000, 0.5000, 0.5000)  4 Cl 3.19, 8 P 3.36
Ru (0.0000, 0.0000, 0.0000)  4 P 2.26, 2 Cl 2.49
P (0.0000, 0.5000, 0.0000)  2 Ru 2.26
Cl (0.0000, 0.0000, 0.5000)  2 Ru 2.49
P (0.5000, 0.0000, 0.0000)  2 Ru 2.26

Properties
- formation energy from raw total energies (eV per formula unit) = 4.61
- size of the total moment (Bohr magnetons per cell) = 3.6
- space-group type = P4/mmm
- calculated density (g/cm³) = 4.82
- total energy (eV/atom) = -5.633
- polymorph energy (0 for the lowest one) (eV/f.u.) = 0.00

=====

Question: Number 3 is which compound?
Answer: RbIn2Pb

=====

Question: Number 3 is which compound?
Answer: RbIn2Pb

=====

Question: What is the formula in the second record?
Answer: MgCu4Se2

=====

Question: What is the total energy in the first record?
Answer: -6.164 eV/atom